Here is an optimized crystal structure of LiCo5O5F from Alexandria. Energies are from PBE+U.

```
data_LiCo5O5F
_chemical_formula_sum 'Li1 Co5 O5 F1'
_cell_length_a 3.2754
_cell_length_b 3.2754
_cell_length_c 15.8427
_cell_angle_alpha 90.00
_cell_angle_beta 90.00
_cell_angle_gamma 120.00
_space_group_name_H-M_alt 'P 3 m 1'
_space_group_IT_number 156
loop_
_space_group_symop_operation_xyz
'x,y,z'
'-y,x-y,z'
'-x+y,-x,z'
'-y,-x,z'
'-x+y,y,z'
'x,x-y,z'
loop_
_atom_site_label
_atom_site_type_symbol
_atom_site_fract_x
_atom_site_fract_y
_atom_site_fract_z
_atom_site_occupancy
Li1 Li 0.0000 0.0000 0.0000 1
Co1 Co 0.0000 0.0000 0.3237 1
Co2 Co 0.0000 0.0000 0.6610 1
Co3 Co 0.3333 0.6667 0.1574 1
Co4 Co 0.3333 0.6667 0.4959 1
Co5 Co 0.3333 0.6667 0.8249 1
O1 O 0.0000 0.0000 0.1192 1
O2 O 0.0000 0.0000 0.4577 1
O3 O 0.0000 0.0000 0.7892 1
O4 O 0.3333 0.6667 0.2875 1
O5 O 0.3333 0.6667 0.6238 1
F1 F 0.3333 0.6667 0.9535 1
```

Results
calculated total energy	-5.715	eV/atom
size of the total moment	3.00	μB/cell